Density functional theory data (PBE+U) for crystalline NiI2O at its relaxed geometry.

**Energy relative to the lowest polymorph listed for this composition**: 375 meV/atom
**Spin magnetization**: 1.57 μB per formula unit

```
data_NiI2O
_chemical_formula_sum 'Ni4 I8 O4'
_space_group_name_H-M_alt 'F m -3 m'
_space_group_IT_number 225
_space_group_name_Hall '-F 4 2 3'
_cell_length_a 6.654
_cell_length_b 6.654
_cell_length_c 6.654
_cell_angle_alpha 90.00
_cell_angle_beta 90.00
_cell_angle_gamma 90.00
loop_
_atom_site_label
_atom_site_type_symbol
_atom_site_fract_x
_atom_site_fract_y
_atom_site_fract_z
Ni1 Ni 0.000 0.000 0.000
I1 I 0.250 0.250 0.250
O1 O 0.000 0.000 0.500
```